The following is a PBE with a Hubbard U calculation of an optimized crystal structure of PuNiPbO6, from Alexandria via LeMat-Bulk.

E ... -7.208 eV per atom
Crystal system ... trigonal
DOS(E_F) ... 0.313 states/eV/atom

Unit cell a=5.340 b=5.340 c=10.039 alpha=90.00 beta=90.00 gamma=120.00
Atoms (fractional coordinates):
O (0.008, 0.362, 0.639)
O (0.638, 0.647, 0.639)
O (0.362, 0.008, 0.139)
O (0.362, 0.353, 0.361)
O (0.638, 0.992, 0.861)
O (0.992, 0.353, 0.139)
O (0.992, 0.638, 0.361)
O (0.647, 0.638, 0.139)
O (0.008, 0.647, 0.861)
O (0.353, 0.992, 0.639)
O (0.647, 0.008, 0.361)
O (0.353, 0.362, 0.861)
Pu (0.333, 0.667, 0.750)
Pu (0.667, 0.333, 0.250)
Pb (0.000, 0.000, 0.500)
Pb (0.000, 0.000, 0.000)
Ni (0.667, 0.333, 0.750)
Ni (0.333, 0.667, 0.250)